No. 1
# PBE-GGA BaY2Al, relaxed
# - energy relative to the elements (kJ/mol of atoms) = 20
# - size of the total moment (μB/f.u.) = 0.00
# - DOS at the Fermi energy (states/eV per atom) = 1.30
data_BaY2Al
_chemical_formula_sum 'Ba2 Y4 Al2'
_space_group_name_H-M_alt 'C 1 2/m 1'
_space_group_IT_number 12
_cell_length_a 7.065
_cell_length_b 11.822
_cell_length_c 3.549
_cell_angle_alpha 90.00
_cell_angle_beta 118.56
_cell_angle_gamma 90.00
loop_
_space_group_symop_operation_xyz
'x,y,z'
'-x,-y,-z'
'-x,y,-z'
'x,-y,z'
'x+1/2,y+1/2,z'
'-x+1/2,-y+1/2,-z'
'-x+1/2,y+1/2,-z'
'x+1/2,-y+1/2,z'
loop_
_atom_site_label
_atom_site_fract_x
_atom_site_fract_y
_atom_site_fract_z
Ba1 0.000 0.000 0.000
Y1 0.250 0.250 0.500
Al1 0.000 0.500 0.000



No. 2
# PBE-GGA Pu2ThSiC4, relaxed
# - size of the total moment (μB/f.u.) = 7.54
# - DOS at the Fermi energy (states/eV per atom) = 1.40
# - total DFT energy (no corrections) (eV per atom) = -9.8858
data_Pu2ThSiC4
_chemical_formula_sum 'Pu8 Th4 Si4 C16'
_space_group_name_H-M_alt 'C m c m'
_space_group_IT_number 63
_space_group_name_Hall '-C 2c 2'
_cell_length_a 3.514
_cell_length_b 11.528
_cell_length_c 11.632
_cell_angle_alpha 90.00
_cell_angle_beta 90.00
_cell_angle_gamma 90.00
loop_
_atom_site_label
_atom_site_fract_x
_atom_site_fract_y
_atom_site_fract_z
Pu1 0.000 0.130 0.050
Th1 0.000 0.396 0.250
Si1 0.000 0.335 0.750
C1 0.000 0.073 0.250
C2 0.000 0.234 0.624
C3 0.000 0.500 0.000



No. 3
# PBE-GGA AcCePmAg, relaxed
# - energy relative to the elements (kJ/mol of atoms) = 20
# - size of the total moment (μB/f.u.) = 2.46
# - DOS at the Fermi energy (states/eV per atom) = 2.41
data_AcCePmAg
_chemical_formula_sum 'Ac4 Ce4 Pm4 Ag4'
_space_group_name_H-M_alt 'F -4 3 m'
_space_group_IT_number 216
_space_group_name_Hall 'F -4 2 3'
_cell_length_a 7.880
_cell_length_b 7.880
_cell_length_c 7.880
_cell_angle_alpha 90.00
_cell_angle_beta 90.00
_cell_angle_gamma 90.00
loop_
_atom_site_label
_atom_site_fract_x
_atom_site_fract_y
_atom_site_fract_z
Ac1 0.000 0.000 0.000
Ce1 0.250 0.250 0.250
Pm1 0.250 0.250 0.750
Ag1 0.000 0.000 0.500



No. 4
# PBE-GGA Na2CdSi, relaxed
# - size of the total moment (μB/f.u.) = 0.00
# - DOS at the Fermi energy (states/eV per atom) = 0.33
# - total DFT energy (no corrections) (eV per atom) = -1.9422
data_Na2CdSi
_chemical_formula_sum 'Na8 Cd4 Si4'
_space_group_name_H-M_alt 'I -4 2 d'
_space_group_IT_number 122
_space_group_name_Hall 'I -4 2bw'
_cell_length_a 8.496
_cell_length_b 8.496
_cell_length_c 5.636
_cell_angle_alpha 90.00
_cell_angle_beta 90.00
_cell_angle_gamma 90.00
loop_
_atom_site_label
_atom_site_fract_x
_atom_site_fract_y
_atom_site_fract_z
Na1 0.225 0.250 0.125
Cd1 0.000 0.000 0.500
Si1 0.000 0.000 0.000